A relaxed structure of Ho4Bi3. Source: the Alexandria database, functional GGA-PBE.

## Properties
Its density is 10.5 g/cm³. Its crystal system is cubic. The formation energy from the elements comes out at -4.891 eV per formula unit. Its polymorph energy (0 for the lowest one) is 0.000 eV/atom. The calculation puts the density of states at the Fermi level at 1.21 states/eV/atom.

Cell lengths 8.0944, 8.0944, 8.0944 Å; angles 109.47, 109.47, 109.47 degrees
With the nearest neighbours (Å) after each atom.
Atoms (fractional coordinates):
1 Ho 0.0000 0.3525 0.5000  6 Bi 3.14-3.33
2 Ho 0.0000 0.8525 0.5000  6 Bi 3.14-3.33
3 Ho 0.1475 0.1475 0.1475  6 Bi 3.14-3.33
4 Ho 0.3525 0.5000 0.0000  6 Bi 3.14-3.33
5 Ho 0.5000 0.0000 0.3525  6 Bi 3.14-3.33
6 Ho 0.5000 0.0000 0.8525  6 Bi 3.14-3.33
7 Ho 0.6475 0.6475 0.6475  6 Bi 3.14-3.33
8 Ho 0.8525 0.5000 0.0000  6 Bi 3.14-3.33
9 Bi 0.1250 0.7500 0.8750  8 Ho 3.14-3.33
10 Bi 0.2500 0.6250 0.3750  8 Ho 3.14-3.33
11 Bi 0.3750 0.2500 0.6250  8 Ho 3.14-3.33
12 Bi 0.6250 0.3750 0.2500  8 Ho 3.14-3.33
13 Bi 0.7500 0.8750 0.1250  8 Ho 3.14-3.33
14 Bi 0.8750 0.1250 0.7500  8 Ho 3.14-3.33